PmBeNi3, relaxed, DFT PBE; energy above the most stable polymorph in this dataset = 0.00 eV per formula unit; M_tot = 0.00 μB/f.u.; DFT formation energy = -0.2721 eV per atom
1.0
-2.4710 4.0878 3.6729
2.4710 -4.0878 3.6729
2.4710 4.0878 -3.6729
Pm Be Ni
2 2 6
direct
0.3002 0.0502 0.2500 Pm
0.6998 0.9498 0.7500 Pm
0.0000 0.5000 0.5000 Be
0.5000 0.5000 0.0000 Be
0.0971 0.3471 0.7500 Ni
0.2349 0.0000 0.7349 Ni
0.2349 0.5000 0.2349 Ni
0.7651 0.0000 0.2651 Ni
0.7651 0.5000 0.7651 Ni
0.9029 0.6529 0.2500 Ni